(1)
The following is a PBE calculation of a geometry-optimized AlHgN3 structure, from the Alexandria database.

Lattice parameters (Å, degrees): 3.867 3.867 3.867 90.00 90.00 90.00
Space group Pm-3m (No. 221)
Asymmetric unit:
Al (0.000, 0.000, 0.000) [1 per cell]
Hg (0.500, 0.500, 0.500) [1 per cell]
N (0.000, 0.000, 0.500) [3 per cell]

Calculated values
**E_tot**: -4.58 eV/atom
**Energy relative to the elements, uncorrected**: 1.220 eV per atom

=====

(2)
The following is a PBE calculation of a geometry-optimized ScSBr2 structure, from the Alexandria database.

Lattice parameters (Å, degrees): 3.6680 3.6680 29.3396 90.00 90.00 120.00
Space group R-3m (No. 166, hexagonal axes)
Asymmetric unit:
Sc (0.0000, 0.0000, 0.0000) [3 per cell]
S (0.0000, 0.0000, 0.5000) [3 per cell]
Br (0.0000, 0.0000, 0.3908) [6 per cell]

Calculated values
**E_tot**: -4.03 eV/atom
**Energy relative to the elements, uncorrected**: -0.579 eV per atom
**Excess energy over the best structure of this formula in the dataset**: 499 meV per atom

=====

(3)
The following is a PBE calculation of a geometry-optimized Ba2GeSb3Pt4 structure, from the Alexandria database.

Lattice parameters (Å, degrees): 4.748 4.748 10.646 90.00 90.00 90.00
Space group P-4m2 (No. 115)
Asymmetric unit:
Ba (0.000, 0.500, 0.249) [2 per cell]
Ge (0.500, 0.500, 0.000) [1 per cell]
Sb (0.000, 0.000, 0.000) [1 per cell]
Sb (0.000, 0.500, 0.627) [2 per cell]
Pt (0.000, 0.000, 0.500) [1 per cell]
Pt (0.000, 0.500, 0.884) [2 per cell]
Pt (0.500, 0.500, 0.500) [1 per cell]

Calculated values
**E_tot**: -5.29 eV/atom
**Energy relative to the elements, uncorrected**: -0.791 eV per atom

=====

(4)
The following is a PBE calculation of a geometry-optimized NaIrRu2 structure, from the Alexandria database.

Lattice parameters (Å, degrees): 6.194 6.194 6.194 90.00 90.00 90.00
Space group Fm-3m (No. 225)
Asymmetric unit:
Na (0.000, 0.000, 0.000) [4 per cell]
Ir (0.000, 0.000, 0.500) [4 per cell]
Ru (0.250, 0.250, 0.250) [8 per cell]

Calculated values
**E_tot**: -6.45 eV/atom
**Calculated formation energy**: 281 kJ/mol of formula units
**Excess energy over the best structure of this formula in the dataset**: 0 meV per atom

=====

(5)
The following is a PBE calculation of a geometry-optimized La2Sm2Sc structure, from the Alexandria database.

Lattice parameters (Å, degrees): 3.526 5.669 32.896 90.00 90.00 90.00
Space group Imma (No. 74)
Asymmetric unit:
La (0.000, 0.250, 0.184) [4 per cell]
La (0.000, 0.250, 0.709) [4 per cell]
Sm (0.000, 0.250, 0.885) [4 per cell]
Sm (0.000, 0.250, 0.979) [4 per cell]
Sc (0.000, 0.250, 0.428) [4 per cell]

Calculated values
**E_tot**: -4.95 eV/atom
**Calculated formation energy**: 83 kJ/mol of formula units
**Excess energy over the best structure of this formula in the dataset**: 42 meV per atom

=====

(6)
The following is a PBE calculation of a geometry-optimized Mn2FeP2 structure, from the Alexandria database.

Lattice parameters (Å, degrees): 8.032 2.903 5.440 90.00 109.85 90.00
Space group C2/m (No. 12)
Asymmetric unit:
Mn (0.109, 0.000, 0.188) [4 per cell]
Fe (0.000, 0.500, 0.500) [2 per cell]
P (0.174, 0.000, 0.790) [4 per cell]

Calculated values
**E_tot**: -7.71 eV/atom
**Calculated formation energy**: -90 kJ/mol of formula units

=====

(7)
The following is a PBE calculation of a geometry-optimized Rb3MgCl6 structure, from the Alexandria database.

Lattice parameters (Å, degrees): 11.185 11.185 11.185 90.00 90.00 90.00
Space group Fm-3m (No. 225)
Asymmetric unit:
Rb (0.000, 0.000, 0.000) [4 per cell]
Rb (0.250, 0.250, 0.250) [8 per cell]
Mg (0.000, 0.000, 0.500) [4 per cell]
Cl (0.000, 0.000, 0.278) [24 per cell]

Calculated values
**E_tot**: -3.17 eV/atom
**Energy relative to the elements, uncorrected**: -1.612 eV per atom

=====

(8)
The following is a PBE calculation of a geometry-optimized SrAs2PdBr structure, from the Alexandria database.

Lattice parameters (Å, degrees): 4.857 4.857 5.689 90.00 90.00 90.00
Space group P4/mmm (No. 123)
Asymmetric unit:
Sr (0.000, 0.000, 0.000) [1 per cell]
As (0.000, 0.500, 0.500) [2 per cell]
Pd (0.500, 0.500, 0.500) [1 per cell]
Br (0.500, 0.500, 0.000) [1 per cell]

Calculated values
**E_tot**: -3.96 eV/atom
**Energy relative to the elements, uncorrected**: -0.388 eV per atom
**Excess energy over the best structure of this formula in the dataset**: 0 meV per atom